No. 1
The following is a PBE-GGA calculation of a relaxed Mn2NiOs crystal, from Alexandria.

Cell lengths 5.1156, 5.1156, 6.3716 Å; angles 66.33, 66.33, 90.00 degrees
Fractional coordinates of all 8 atoms:
Mn 0.8750 0.8564 0.7500
Mn 0.6064 0.1250 0.2500
Mn 0.1436 0.6250 0.2500
Ni 0.5000 0.5000 0.0000
Mn 0.3750 0.3936 0.7500
Os 0.0000 0.0000 0.0000
Ni 0.2500 0.7500 0.5000
Os 0.7500 0.2500 0.5000

Summary:
The total energy is -7.522 eV per atom. The calculation puts the formation energy at 1.32 eV/atom. As for the space group: I-42d (122).



No. 2
The following is a PBE-GGA calculation of a relaxed Be3Al2Cu8 crystal, from Alexandria.

Cell lengths 2.6936, 8.1449, 8.3449 Å; angles 119.21, 90.00, 90.00 degrees
Fractional coordinates of all 13 atoms:
Cu 0.0000 0.4151 0.8298
Al 0.5000 0.7350 0.4713
Cu 0.5000 0.6182 0.7378
Cu 0.0000 0.5849 0.1702
Al 0.5000 0.2650 0.5287
Cu 0.5000 0.3818 0.2622
Be 0.0000 0.7678 0.0004
Cu 0.5000 0.1198 0.7369
Be 0.5000 0.0000 0.0000
Cu 0.5000 0.8802 0.2631
Cu 0.0000 0.8797 0.7590
Cu 0.0000 0.1203 0.2410
Be 0.0000 0.2322 0.9996

Summary:
The total energy is -3.919 eV per atom. The calculation puts the formation energy at 0.04 eV/atom. As for the space group: P2/m (10).



No. 3
The following is a PBE-GGA calculation of a relaxed AcBeCo2H8 crystal, from Alexandria.

Cell lengths 4.3435, 4.3435, 6.2952 Å; angles 69.82, 69.82, 60.00 degrees
Fractional coordinates of all 12 atoms:
Co 0.6943 0.6943 0.9170
H 0.3604 0.6773 0.8725
H 0.3227 0.9102 0.1275
H 0.7895 0.7895 0.6316
H 0.9102 0.6396 0.1275
H 0.6773 0.0898 0.8725
Co 0.3057 0.3057 0.0830
H 0.2105 0.2105 0.3684
H 0.0898 0.3604 0.8725
Ac 0.5000 0.5000 0.5000
Be 0.0000 0.0000 0.0000
H 0.6396 0.3227 0.1275

Summary:
The total energy is -4.267 eV per atom. As for the space group: R-3 (148).



No. 4
The following is a PBE-GGA calculation of a relaxed YScTc2 crystal, from Alexandria.

Cell lengths 3.4941, 3.4941, 6.4569 Å; angles 90.00, 90.00, 90.00 degrees
Fractional coordinates of all 4 atoms:
Tc 0.0000 0.0000 0.5517
Sc 0.5000 0.5000 0.7500
Y 0.5000 0.5000 0.2500
Tc 0.0000 0.0000 0.9483

Summary:
The total energy is -8.298 eV per atom. The calculation puts the formation energy at 0.08 eV/atom. As for the space group: P4/mmm (123).



No. 5
The following is a PBE-GGA calculation of a relaxed SrTaPCl2 crystal, from Alexandria.

Cell lengths 5.2238, 5.2238, 6.2367 Å; angles 90.00, 90.00, 90.00 degrees
Fractional coordinates of all 5 atoms:
Ta 0.5000 0.5000 0.5000
P 0.0000 0.0000 0.5000
Cl 0.0000 0.5000 0.0000
Cl 0.5000 0.0000 0.0000
Sr 0.0000 0.0000 0.0000

Summary:
The total energy is -4.030 eV per atom. The calculation puts the formation energy without anion corrections at 0.498 eV per atom. As for the space group: P4/mmm (123).



No. 6
The following is a PBE-GGA calculation of a relaxed YTmLuAl crystal, from Alexandria.

Cell lengths 5.2925, 5.2925, 5.2925 Å; angles 60.00, 60.00, 60.00 degrees
Fractional coordinates of all 4 atoms:
Y 0.7500 0.7500 0.7500
Al 0.0000 0.0000 0.0000
Tm 0.2500 0.2500 0.2500
Lu 0.5000 0.5000 0.5000

Summary:
The total energy is -4.877 eV per atom. The calculation puts the formation energy at -0.08 eV/atom. As for the space group: F-43m (216).



No. 7
The following is a PBE-GGA calculation of a relaxed Ba3ZnBr crystal, from Alexandria.

Cell lengths 6.2704, 6.2704, 6.2704 Å; angles 90.00, 90.00, 90.00 degrees
Fractional coordinates of all 5 atoms:
Zn 0.5000 0.5000 0.5000
Ba 0.0000 0.0000 0.5000
Ba 0.5000 0.0000 0.0000
Ba 0.0000 0.5000 0.0000
Br 0.0000 0.0000 0.0000

Summary:
The total energy is -2.092 eV per atom. The calculation puts the formation energy without anion corrections at -0.349 eV per atom. As for the space group: Pm-3m (221).



No. 8
The following is a PBE-GGA calculation of a relaxed NbTcRh2 crystal, from Alexandria.

Cell lengths 3.9177, 3.9219, 3.9219 Å; angles 90.00, 90.00, 90.00 degrees
Fractional coordinates of all 4 atoms:
Rh 0.0000 0.5000 0.0000
Nb 0.5000 0.0000 0.0000
Rh 0.0000 0.0000 0.5000
Tc 0.5000 0.5000 0.5000

Summary:
The total energy is -9.123 eV per atom. The calculation puts the formation energy at -0.34 eV/atom. As for the space group: P4/mmm (123).